## P
# ZrAsI2O

A relaxed ZrAsI2O crystal (GGA-PBE, Alexandria via LeMat-Bulk).

Cell: 5.8668 5.8668 3.9825 Å, 90.00 90.00 90.00°
With the nearest neighbours (Å) after each atom.
Positions (direct):
Zr1 0.0000 0.0000 0.0000  2 O 1.99
As1 0.5000 0.5000 0.5000  8 I 3.55
I1 0.0000 0.5000 0.0000  2 Zr 2.93
I2 0.5000 0.0000 0.0000  2 Zr 2.93
O1 0.0000 0.0000 0.5000  2 Zr 1.99

Computed properties:
Symmetry: P4/mmm (123)
DOS at the Fermi energy (states/eV per cell): 3.4
Total moment (μB/f.u.): 0.0

## Q
# ZrAsI2O

A relaxed ZrAsI2O crystal (GGA-PBE, Alexandria via LeMat-Bulk).

Cell: 5.8358 5.8358 3.7442 Å, 90.00 90.00 90.00°
With the nearest neighbours (Å) after each atom.
Positions (direct):
Zr1 0.0000 0.0000 0.0000  8 I 3.47, 2 Zr 3.74
As1 0.5000 0.5000 0.5000  2 O 1.87
I1 0.0000 0.5000 0.5000  2 As 2.92
I2 0.5000 0.0000 0.5000  2 As 2.92
O1 0.5000 0.5000 0.0000  2 As 1.87

Computed properties:
Symmetry: P4/mmm (123)
DOS at the Fermi energy (states/eV per cell): 2.7
Total moment (μB/f.u.): 1.7

Unit: meV per atom. Relative energies: P 0; Q 700.

## P
# As2OsI

A relaxed As2OsI crystal (GGA-PBE, Alexandria via LeMat-Bulk).

Cell: 6.7335 6.7335 6.7335 Å, 90.00 90.00 90.00°
With the nearest neighbours (Å) after each atom.
Positions (direct):
As1 0.2500 0.2500 0.2500  4 Os 2.92, 4 I 2.92
As2 0.2500 0.2500 0.7500  4 Os 2.92, 4 I 2.92
As3 0.2500 0.7500 0.2500  4 Os 2.92, 4 I 2.92
As4 0.2500 0.7500 0.7500  4 Os 2.92, 4 I 2.92
As5 0.7500 0.2500 0.2500  4 Os 2.92, 4 I 2.92
As6 0.7500 0.2500 0.7500  4 Os 2.92, 4 I 2.92
As7 0.7500 0.7500 0.2500  4 Os 2.92, 4 I 2.92
As8 0.7500 0.7500 0.7500  4 I 2.92, 4 Os 2.92
Os1 0.0000 0.0000 0.0000  8 As 2.92
Os2 0.0000 0.5000 0.5000  8 As 2.92
Os3 0.5000 0.0000 0.5000  8 As 2.92
Os4 0.5000 0.5000 0.0000  8 As 2.92
I1 0.0000 0.0000 0.5000  8 As 2.92
I2 0.0000 0.5000 0.0000  8 As 2.92
I3 0.5000 0.0000 0.0000  8 As 2.92
I4 0.5000 0.5000 0.5000  8 As 2.92

Computed properties:
Symmetry: Fm-3m (225)
DOS at the Fermi energy (states/eV per cell): 12.7
Total moment (μB/f.u.): 0.0

## Q
# As2OsI

A relaxed As2OsI crystal (GGA-PBE, Alexandria via LeMat-Bulk).

Cell: 6.6893 6.6893 10.5070 Å, 90.00 90.00 90.00°
With the nearest neighbours (Å) after each atom.
Positions (direct):
As1 0.1411 0.2500 0.1250  2 Os 2.33
As2 0.2500 0.6411 0.3750  2 Os 2.33
As3 0.2500 0.8589 0.8750  2 Os 2.33
As4 0.3589 0.2500 0.6250  2 Os 2.33
As5 0.6411 0.7500 0.6250  2 Os 2.33
As6 0.7500 0.1411 0.8750  2 Os 2.33
As7 0.7500 0.3589 0.3750  2 Os 2.33
As8 0.8589 0.7500 0.1250  2 Os 2.33
Os1 0.0000 0.0000 0.0000  4 As 2.33
Os2 0.0000 0.5000 0.2500  4 As 2.33
Os3 0.5000 0.0000 0.7500  4 As 2.33
Os4 0.5000 0.5000 0.5000  4 As 2.33
I1 0.0000 0.0000 0.5000  4 As 3.21
I2 0.0000 0.5000 0.7500  4 As 3.21
I3 0.5000 0.0000 0.2500  4 As 3.21
I4 0.5000 0.5000 0.0000  4 As 3.21

Computed properties:
Symmetry: I-42d (122)
DOS at the Fermi energy (states/eV per cell): 17.2
Total moment (μB/f.u.): 0.0

Unit: meV per atom. Relative energies: P 780; Q 0.

## P
# AsOs2I

A relaxed AsOs2I crystal (GGA-PBE, Alexandria via LeMat-Bulk).

Cell: 6.4926 6.4926 6.4926 Å, 90.00 90.00 90.00°
With the nearest neighbours (Å) after each atom.
Positions (direct):
As1 0.0000 0.0000 0.0000  8 Os 2.81
As2 0.0000 0.5000 0.5000  8 Os 2.81
As3 0.5000 0.0000 0.5000  8 Os 2.81
As4 0.5000 0.5000 0.0000  8 Os 2.81
Os1 0.2500 0.2500 0.2500  4 As 2.81, 4 I 2.81
Os2 0.2500 0.2500 0.7500  4 As 2.81, 4 I 2.81
Os3 0.2500 0.7500 0.2500  4 As 2.81, 4 I 2.81
Os4 0.2500 0.7500 0.7500  4 As 2.81, 4 I 2.81
Os5 0.7500 0.2500 0.2500  4 As 2.81, 4 I 2.81
Os6 0.7500 0.2500 0.7500  4 As 2.81, 4 I 2.81
Os7 0.7500 0.7500 0.2500  4 As 2.81, 4 I 2.81
Os8 0.7500 0.7500 0.7500  4 As 2.81, 4 I 2.81
I1 0.0000 0.0000 0.5000  8 Os 2.81
I2 0.0000 0.5000 0.0000  8 Os 2.81
I3 0.5000 0.0000 0.0000  8 Os 2.81
I4 0.5000 0.5000 0.5000  8 Os 2.81

Computed properties:
Symmetry: Fm-3m (225)
DOS at the Fermi energy (states/eV per cell): 12.8
Total moment (μB/f.u.): 0.0

## Q
# AsOs2I

A relaxed AsOs2I crystal (GGA-PBE, Alexandria via LeMat-Bulk).

Cell: 5.6397 5.6397 11.6512 Å, 90.00 90.00 90.00°
With the nearest neighbours (Å) after each atom.
Positions (direct):
As1 0.0000 0.0000 0.0000  4 Os 2.38
As2 0.0000 0.5000 0.2500  4 Os 2.38
As3 0.5000 0.0000 0.7500  4 Os 2.38
As4 0.5000 0.5000 0.5000  4 Os 2.38
Os1 0.2200 0.2500 0.1250  2 As 2.38, 2 I 2.57
Os2 0.2500 0.7200 0.3750  2 As 2.38, 2 I 2.57
Os3 0.2500 0.7800 0.8750  2 As 2.38, 2 I 2.57
Os4 0.2800 0.2500 0.6250  2 As 2.38, 2 I 2.57
Os5 0.7200 0.7500 0.6250  2 As 2.38, 2 I 2.57
Os6 0.7500 0.2200 0.8750  2 As 2.38, 2 I 2.57
Os7 0.7500 0.2800 0.3750  2 As 2.38, 2 I 2.57
Os8 0.7800 0.7500 0.1250  2 As 2.38, 2 I 2.57
I1 0.0000 0.0000 0.5000  4 Os 2.57
I2 0.0000 0.5000 0.7500  4 Os 2.57
I3 0.5000 0.0000 0.2500  4 Os 2.57
I4 0.5000 0.5000 0.0000  4 Os 2.57

Computed properties:
Symmetry: I-42d (122)
DOS at the Fermi energy (states/eV per cell): 14.0
Total moment (μB/f.u.): 0.0

Unit: meV per atom. Relative energies: P 164; Q 0.

## P
# AsOs3I

A relaxed AsOs3I crystal (GGA-PBE, Alexandria via LeMat-Bulk).

Cell: 4.8142 4.8142 4.8142 Å, 90.00 90.00 90.00°
With the nearest neighbours (Å) after each atom.
Positions (direct):
As1 0.0000 0.0000 0.0000  12 Os 3.40
Os1 0.0000 0.5000 0.5000  2 I 2.41
Os2 0.5000 0.0000 0.5000  2 I 2.41
Os3 0.5000 0.5000 0.0000  2 I 2.41
I1 0.5000 0.5000 0.5000  6 Os 2.41

Computed properties:
Symmetry: Pm-3m (221)
DOS at the Fermi energy (states/eV per cell): 5.8
Total moment (μB/f.u.): 0.0

## Q
# AsOs3I

A relaxed AsOs3I crystal (GGA-PBE, Alexandria via LeMat-Bulk).

Cell: 4.6220 4.6220 4.6220 Å, 90.00 90.00 90.00°
With the nearest neighbours (Å) after each atom.
Positions (direct):
As1 0.0000 0.0000 0.0000  6 Os 2.31
Os1 0.0000 0.0000 0.5000  2 As 2.31
Os2 0.0000 0.5000 0.0000  2 As 2.31
Os3 0.5000 0.0000 0.0000  2 As 2.31
I1 0.5000 0.5000 0.5000  12 Os 3.27

Computed properties:
Symmetry: Pm-3m (221)
DOS at the Fermi energy (states/eV per cell): 4.6
Total moment (μB/f.u.): 0.0

Unit: meV per atom. Relative energies: P 921; Q 0.

## P
# AsOsI3

A relaxed AsOsI3 crystal (GGA-PBE, Alexandria via LeMat-Bulk).

Cell: 5.3333 5.3333 5.3333 Å, 90.00 90.00 90.00°
With the nearest neighbours (Å) after each atom.
Positions (direct):
As1 0.0000 0.0000 0.0000  12 I 3.77
Os1 0.5000 0.5000 0.5000  6 I 2.67
I1 0.0000 0.5000 0.5000  2 Os 2.67
I2 0.5000 0.0000 0.5000  2 Os 2.67
I3 0.5000 0.5000 0.0000  2 Os 2.67

Computed properties:
Symmetry: Pm-3m (221)
DOS at the Fermi energy (states/eV per cell): 5.3
Total moment (μB/f.u.): 0.0

## Q
# AsOsI3

A relaxed AsOsI3 crystal (GGA-PBE, Alexandria via LeMat-Bulk).

Cell: 5.6723 5.6723 5.6723 Å, 90.00 90.00 90.00°
With the nearest neighbours (Å) after each atom.
Positions (direct):
As1 0.0000 0.0000 0.0000  6 I 2.84
Os1 0.5000 0.5000 0.5000  12 I 4.01
I1 0.0000 0.0000 0.5000  2 As 2.84
I2 0.0000 0.5000 0.0000  2 As 2.84
I3 0.5000 0.0000 0.0000  2 As 2.84

Computed properties:
Symmetry: Pm-3m (221)
DOS at the Fermi energy (states/eV per cell): 11.0
Total moment (μB/f.u.): 4.6

Unit: meV per atom. Relative energies: P 0; Q 492.

## P
# AsOsI2

A relaxed AsOsI2 crystal (GGA-PBE, Alexandria via LeMat-Bulk).

Cell: 7.0458 7.0458 7.0458 Å, 90.00 90.00 90.00°
With the nearest neighbours (Å) after each atom.
Positions (direct):
As1 0.0000 0.0000 0.0000  8 I 3.05
As2 0.0000 0.5000 0.5000  8 I 3.05
As3 0.5000 0.0000 0.5000  8 I 3.05
As4 0.5000 0.5000 0.0000  8 I 3.05
Os1 0.0000 0.0000 0.5000  8 I 3.05
Os2 0.0000 0.5000 0.0000  8 I 3.05
Os3 0.5000 0.0000 0.0000  8 I 3.05
Os4 0.5000 0.5000 0.5000  8 I 3.05
I1 0.2500 0.2500 0.2500  4 As 3.05, 4 Os 3.05
I2 0.2500 0.2500 0.7500  4 As 3.05, 4 Os 3.05
I3 0.2500 0.7500 0.2500  4 As 3.05, 4 Os 3.05
I4 0.2500 0.7500 0.7500  4 As 3.05, 4 Os 3.05
I5 0.7500 0.2500 0.2500  4 As 3.05, 4 Os 3.05
I6 0.7500 0.2500 0.7500  4 As 3.05, 4 Os 3.05
I7 0.7500 0.7500 0.2500  4 As 3.05, 4 Os 3.05
I8 0.7500 0.7500 0.7500  4 Os 3.05, 4 As 3.05

Computed properties:
Symmetry: Fm-3m (225)
DOS at the Fermi energy (states/eV per cell): 17.9
Total moment (μB/f.u.): 0.6

## Q
# AsOsI2

A relaxed AsOsI2 crystal (GGA-PBE, Alexandria via LeMat-Bulk).

Cell: 10.2326 10.2326 4.6826 Å, 90.00 90.00 90.00°
With the nearest neighbours (Å) after each atom.
Positions (direct):
As1 0.0000 0.0000 0.0000  2 Os 2.34
As2 0.0000 0.5000 0.2500  2 Os 2.34
As3 0.5000 0.0000 0.7500  2 Os 2.34
As4 0.5000 0.5000 0.5000  2 Os 2.34
Os1 0.0000 0.0000 0.5000  2 As 2.34
Os2 0.0000 0.5000 0.7500  2 As 2.34
Os3 0.5000 0.0000 0.2500  2 As 2.34
Os4 0.5000 0.5000 0.0000  2 As 2.34
I1 0.0967 0.2500 0.6250  2 Os 2.80
I2 0.2500 0.5967 0.8750  2 Os 2.80
I3 0.2500 0.9033 0.3750  2 Os 2.80
I4 0.4033 0.2500 0.1250  2 Os 2.80
I5 0.5967 0.7500 0.1250  2 Os 2.80
I6 0.7500 0.0967 0.3750  2 Os 2.80
I7 0.7500 0.4033 0.8750  2 Os 2.80
I8 0.9033 0.7500 0.6250  2 Os 2.80

Computed properties:
Symmetry: I-42d (122)
DOS at the Fermi energy (states/eV per cell): 12.1
Total moment (μB/f.u.): 0.2

Unit: meV per atom. Relative energies: P 976; Q 0.